Density functional theory data (PBEsol) for crystalline Ti3GePb at its relaxed geometry.

Unit cell a=5.0471 b=5.0471 c=5.0471 alpha=90.00 beta=90.00 gamma=90.00
Last column: magnetic moment on the atom in μB.
Atoms (fractional coordinates):
1 Pb 0.0000 0.0000 0.0000  -0.02
2 Ge 0.5000 0.5000 0.5000  -0.10
3 Ti 0.0000 0.0000 0.5000  1.02
4 Ti 0.5000 0.0000 0.0000  1.02
5 Ti 0.0000 0.5000 0.0000  1.02

Properties
SG: Pm-3m (221)
Calculated total energy, eV/atom: -5.540
V, Å³/cell: 128.6
Formation energy, eV/f.u.: 6.20